Entry 1:
10
Lattice="-5.255 -3.429 -0.031 0.407 -0.679 6.225 -1.502 2.298 0.349" Properties=species:S:1:pos:R:3 comment="H2PtW2, optimized geometry, DFT PBE" energy_ev_per_atom=-7.39 space_group="No. 127" relative_energy_mev_per_atom=21 pbc="T T T"
H -1.679 -1.935 5.517
W -5.109 -2.032 2.370
W -1.241 0.222 4.172
H -3.169 -2.173 0.676
Pt 0.000 0.000 0.000
H -4.419 -3.462 3.780
W -3.781 -1.638 5.489
H -0.429 -0.647 2.414
Pt -2.424 -2.054 3.097
W -2.569 -0.172 1.054


Entry 2:
10
Lattice="6.785 0.000 0.000 0.000 6.785 0.000 0.000 0.000 2.695" Properties=species:S:1:pos:R:3 comment="H2Pt2W, optimized geometry, DFT PBE" energy_ev_per_atom=-6.18 space_group="No. 127" relative_energy_mev_per_atom=101 pbc="T T T"
H 6.081 4.097 0.000
H 0.704 2.689 0.000
Pt 4.872 1.479 1.348
H 4.097 0.704 0.000
W 3.393 3.393 0.000
H 2.689 6.081 0.000
Pt 5.306 4.872 1.348
W 0.000 0.000 0.000
Pt 1.479 1.913 1.348
Pt 1.913 5.306 1.348


Entry 3:
4
Lattice="0.081 -4.198 1.003 -2.620 -1.537 3.067 -3.321 -2.540 -1.073" Properties=species:S:1:pos:R:3 comment="HPt2W, optimized geometry, DFT PBE" energy_ev_per_atom=-6.49 space_group="No. 225" relative_energy_mev_per_atom=365 pbc="T T T"
Pt -1.465 -2.069 0.749
Pt -4.396 -6.206 2.247
W -2.930 -4.137 1.498
H 0.000 0.000 0.000


Entry 4:
5
Lattice="-0.575 2.706 0.715 -2.217 -0.886 1.570 2.552 0.359 6.406" Properties=species:S:1:pos:R:3 comment="H2Pt2W, optimized geometry, DFT PBE" energy_ev_per_atom=-6.28 space_group="No. 139" relative_energy_mev_per_atom=0 pbc="T T T"
W 0.000 0.000 0.000
H 0.290 1.987 4.131
H -0.530 0.192 4.559
Pt -0.003 1.431 6.002
Pt -0.237 0.748 2.688


Entry 5:
5
Lattice="4.027 0.000 0.000 0.000 4.027 0.000 0.000 0.000 4.027" Properties=species:S:1:pos:R:3 comment="HPtW3, optimized geometry, DFT PBE" energy_ev_per_atom=-9.63 space_group="No. 221" relative_energy_mev_per_atom=0 pbc="T T T"
W 0.000 0.000 2.014
Pt 2.014 2.014 2.014
W 2.014 0.000 0.000
W 0.000 2.014 0.000
H 0.000 0.000 0.000


Entry 6:
5
Lattice="4.810 0.000 0.000 0.000 4.810 0.000 0.000 0.000 4.810" Properties=species:S:1:pos:R:3 comment="HPtW3, optimized geometry, DFT PBE" energy_ev_per_atom=-6.78 space_group="No. 221" relative_energy_mev_per_atom=2859 pbc="T T T"
W 0.000 0.000 2.405
Pt 0.000 0.000 0.000
H 2.405 2.405 2.405
W 0.000 2.405 0.000
W 2.405 0.000 0.000


Entry 7:
5
Lattice="3.826 0.000 0.000 0.000 3.826 0.000 1.913 1.913 3.991" Properties=species:S:1:pos:R:3 comment="H2PtW2, optimized geometry, DFT PBE" energy_ev_per_atom=-7.41 space_group="No. 139" relative_energy_mev_per_atom=0 pbc="T T T"
W 1.913 3.826 1.995
W 3.826 1.913 1.995
Pt 0.000 0.000 0.000
H 1.913 1.913 1.252
H 3.826 3.826 2.738


Entry 8:
5
Lattice="4.049 0.000 0.000 0.000 4.049 0.000 0.000 0.000 4.049" Properties=species:S:1:pos:R:3 comment="HPt3W, optimized geometry, DFT PBE" energy_ev_per_atom=-6.65 space_group="No. 221" relative_energy_mev_per_atom=0 pbc="T T T"
Pt 0.000 0.000 2.025
Pt 0.000 2.025 0.000
W 2.025 2.025 2.025
H 0.000 0.000 0.000
Pt 2.025 0.000 0.000


Entry 9:
5
Lattice="4.870 0.000 0.000 0.000 4.870 0.000 0.000 0.000 4.870" Properties=species:S:1:pos:R:3 comment="HPt3W, optimized geometry, DFT PBE" energy_ev_per_atom=-5.22 space_group="No. 221" relative_energy_mev_per_atom=1426 pbc="T T T"
H 2.435 2.435 2.435
Pt 0.000 0.000 2.435
Pt 2.435 0.000 0.000
Pt 0.000 2.435 0.000
W 0.000 0.000 0.000


Entry 10:
5
Lattice="-0.383 -4.628 -0.146 3.315 -0.376 3.234 -2.503 0.126 2.580" Properties=species:S:1:pos:R:3 comment="Zr2HPtW, optimized geometry, DFT PBE" energy_ev_per_atom=-8.26 space_group="No. 123" pbc="T T T"
Zr -0.192 -2.314 -0.073
Pt 0.214 -2.439 2.834
H 0.000 0.000 0.000
W -1.251 0.063 1.290
Zr 1.657 -0.188 1.617


Entry 11:
5
Lattice="-0.009 1.028 3.606 -3.656 0.796 -0.236 -2.827 -3.298 2.883" Properties=species:S:1:pos:R:3 comment="YH2Pt2, optimized geometry, DFT PBE" energy_ev_per_atom=-5.62 space_group="No. 139" relative_energy_mev_per_atom=17 pbc="T T T"
Pt -2.152 -0.439 2.069
H -4.158 -0.795 2.165
H -2.335 -0.679 4.087
Y 0.000 0.000 0.000
Pt -4.341 -1.035 4.183


Entry 12:
7
Lattice="4.478 0.000 -0.541 0.000 3.635 0.000 0.338 0.000 7.020" Properties=species:S:1:pos:R:3 comment="Y2H2Pt3, optimized geometry, DFT PBE" energy_ev_per_atom=-6.23 space_group="No. 10" pbc="T T T"
H 3.195 0.000 5.680
H 1.621 0.000 0.800
Pt 3.646 0.000 3.958
Pt 1.170 0.000 2.521
Y 3.327 1.817 1.555
Y 1.490 1.817 4.925
Pt 0.000 0.000 0.000


Number 5 is which compound?
HPtW3